1.
Compound: TaTlAu2
Source: the Alexandria database
Functional: GGA-PBE
Structure: relaxed

a = 4.728 Å, b = 3.061 Å, c = 5.406 Å
α = 89.99°, β = 90.00°, γ = 90.00°
Positions (direct):
Ta 0.000 0.625 0.446
Au 0.000 0.125 0.974
Au 0.500 0.124 0.292
Tl 0.500 0.626 0.789

2.
Compound: TaTlAu2
Source: the Alexandria database
Functional: GGA-PBE
Structure: relaxed

a = 3.095 Å, b = 3.095 Å, c = 8.159 Å
α = 90.00°, β = 90.00°, γ = 90.01°
Positions (direct):
Ta 0.000 0.000 0.477
Tl 0.500 0.500 0.748
Au 0.500 0.500 0.259
Au 0.000 0.000 0.017

3.
Compound: TaTl2Au
Source: the Alexandria database
Functional: GGA-PBE
Structure: relaxed

a = 5.740 Å, b = 5.740 Å, c = 5.740 Å
α = 137.48°, β = 137.48°, γ = 61.71°
Positions (direct):
Ta 0.750 0.250 0.500
Au 0.500 0.500 0.000
Tl 0.250 0.750 0.500
Tl 0.000 0.000 0.000

ΔE to the lowest computed polymorph ... 0.265 eV per atom

| no. | Fermi-level density of states (states/eV per atom) | energy relative to the elements (eV/atom) |
| --- | --- | --- |
| 1 | 0.670 | 0.26 |
| 2 | 0.380 | 0.21 |
| 3 | 0.875 | 0.55 |